No. 1
Entry from the Alexandria database: Pm5SeS4 after structural relaxation (GGA-PBE).

Structure (CIF):
```
data_Pm5SeS4
_chemical_formula_sum 'Pm15 Se3 S12'
_symmetry_space_group_name_H-M 'R -3 m'
_symmetry_Int_Tables_number 166
_symmetry_space_group_name_Hall '-R 3 2"'
_cell_length_a 4.0677
_cell_length_b 4.0677
_cell_length_c 49.7723
_cell_angle_alpha 90.00
_cell_angle_beta 90.00
_cell_angle_gamma 120.00
loop_
_atom_site_label
_atom_site_type_symbol
_atom_site_fract_x
_atom_site_fract_y
_atom_site_fract_z
Pm1 Pm 0.0000 0.0000 0.0000
Pm2 Pm 0.0000 0.0000 0.2034
Pm3 Pm 0.0000 0.0000 0.3990
Se1 Se 0.0000 0.0000 0.5000
S1 S 0.0000 0.0000 0.0981
S2 S 0.0000 0.0000 0.3006
```

Summary:
formation energy without anion corrections: -1.99 eV/atom
E: -63.7 eV/f.u.
M_tot: 0.000 μB/atom



No. 2
Entry from the Alexandria database: Pm4Se3S after structural relaxation (GGA-PBE).

Structure (CIF):
```
data_Pm4Se3S
_chemical_formula_sum 'Pm4 Se3 S1'
_symmetry_space_group_name_H-M 'P m -3 m'
_symmetry_Int_Tables_number 221
_symmetry_space_group_name_Hall '-P 4 2 3'
_cell_length_a 5.8825
_cell_length_b 5.8825
_cell_length_c 5.8825
_cell_angle_alpha 90.00
_cell_angle_beta 90.00
_cell_angle_gamma 90.00
loop_
_atom_site_label
_atom_site_type_symbol
_atom_site_fract_x
_atom_site_fract_y
_atom_site_fract_z
Pm1 Pm 0.0000 0.0000 0.0000
Pm2 Pm 0.0000 0.5000 0.5000
Se1 Se 0.0000 0.0000 0.5000
S1 S 0.5000 0.5000 0.5000
```

Summary:
formation energy without anion corrections: -1.86 eV/atom
E: -48.5 eV/f.u.
M_tot: 0.000 μB/atom



No. 3
Entry from the Alexandria database: Pm3SeS6 after structural relaxation (GGA-PBE).

Structure (CIF):
```
data_Pm3SeS6
_chemical_formula_sum 'Pm12 Se4 S24'
_symmetry_space_group_name_H-M 'C m c 21'
_symmetry_Int_Tables_number 36
_symmetry_space_group_name_Hall 'C 2c -2'
_cell_length_a 10.7655
_cell_length_b 13.6984
_cell_length_c 7.0061
_cell_angle_alpha 90.00
_cell_angle_beta 90.00
_cell_angle_gamma 90.00
loop_
_atom_site_label
_atom_site_type_symbol
_atom_site_fract_x
_atom_site_fract_y
_atom_site_fract_z
Pm1 Pm 0.0000 0.0947 0.0000
Pm2 Pm 0.1772 0.4097 0.9169
Se1 Se 0.0000 0.2837 0.3866
S1 S 0.0000 0.2724 0.7979
S2 S 0.0000 0.4989 0.1556
S3 S 0.1633 0.0284 0.7095
S4 S 0.1644 0.2373 0.2125
```

Summary:
formation energy without anion corrections: -1.42 eV/atom
E: -56.7 eV/f.u.
M_tot: 0.064 μB/atom



No. 4
Entry from the Alexandria database: Pm6Se3S2 after structural relaxation (GGA-PBE).

Structure (CIF):
```
data_Pm6Se3S2
_chemical_formula_sum 'Pm18 Se9 S6'
_symmetry_space_group_name_H-M 'R -3 m'
_symmetry_Int_Tables_number 166
_symmetry_space_group_name_Hall '-R 3 2"'
_cell_length_a 4.0836
_cell_length_b 4.0836
_cell_length_c 60.6293
_cell_angle_alpha 90.00
_cell_angle_beta 90.00
_cell_angle_gamma 120.00
loop_
_atom_site_label
_atom_site_type_symbol
_atom_site_fract_x
_atom_site_fract_y
_atom_site_fract_z
Pm1 Pm 0.0000 0.0000 0.0892
Pm2 Pm 0.0000 0.0000 0.1923
Pm3 Pm 0.0000 0.0000 0.3616
Se1 Se 0.0000 0.0000 0.0000
Se2 Se 0.0000 0.0000 0.2747
S1 S 0.0000 0.0000 0.4483
```

Summary:
formation energy without anion corrections: -1.71 eV/atom
E: -66.1 eV/f.u.
M_tot: 0.000 μB/atom